No. 1
Here is a relaxed structure of PaHg2SeO6 from the Alexandria database. Energies are from PBE.

The structure belongs to space group R3 (No. 146, hexagonal axes); the cell edges are 5.9079, 5.9079 and 16.5730 Å and the angles 90.00°, 90.00° and 120.00°. The asymmetric unit holds Pa at (0.0000, 0.0000, 0.0000), Hg at (0.0000, 0.0000, 0.3081), Hg at (0.0000, 0.0000, 0.7588), Se at (0.0000, 0.0000, 0.5322), O at (0.0228, 0.7194, 0.0707) and O at (0.0290, 0.4726, 0.2463).

The total energy is -170.97 eV/cell.

=====

No. 2
Here is a relaxed structure of TbDyEr from the Alexandria database. Energies are from PBE.

The structure belongs to space group P3m1 (No. 156); the cell edges are 5.5817, 5.5817 and 3.4430 Å and the angles 90.00°, 90.00° and 120.00°. The asymmetric unit holds Tb at (0.0000, 0.0000, 0.0000), Dy at (0.3333, 0.6667, 0.5009) and Er at (0.6667, 0.3333, 0.4991).

The value obtained for the energy of formation is 0.071 eV per atom. The value obtained for the energy above the most stable polymorph in this dataset is 51 meV per atom. The total energy is -13.58 eV/cell.

=====

No. 3
Here is a relaxed structure of VCuAuI2 from the Alexandria database. Energies are from PBE.

The structure belongs to space group P4/mmm (No. 123); the cell edges are 5.347, 5.347 and 4.882 Å and the angles 90.00°, 90.00° and 90.00°. The asymmetric unit holds V at (0.000, 0.000, 0.000), Cu at (0.500, 0.500, 0.500), Au at (0.500, 0.500, 0.000) and I at (0.000, 0.500, 0.500).

The total energy is -16.04 eV/cell.

=====

No. 4
Here is a relaxed structure of NbTeS2 from the Alexandria database. Energies are from PBE.

The structure belongs to space group R-3m (No. 166, hexagonal axes); the cell edges are 3.3228, 3.3228 and 32.0596 Å and the angles 90.00°, 90.00° and 120.00°. The asymmetric unit holds Nb at (0.0000, 0.0000, 0.0000), Te at (0.0000, 0.0000, 0.5000) and S at (0.0000, 0.0000, 0.3824).

The total energy is -71.73 eV/cell.